[1]
Ca2Co2Os, optimized geometry, DFT PBE; energy relative to the elements = 235 meV/atom; space group = P4/mbm, No. 127
1.0
6.245 0.000 0.000
0.000 6.245 0.000
0.000 0.000 4.663
Ca Os Co
4 2 4
Direct
0.684 0.816 0.500
0.184 0.684 0.500
0.316 0.184 0.500
0.816 0.316 0.500
0.500 0.500 0.000
0.000 0.000 0.000
0.872 0.628 0.000
0.128 0.372 0.000
0.628 0.128 0.000
0.372 0.872 0.000

[2]
TeAsCl, optimized geometry, DFT PBE; energy relative to the elements, uncorrected = -6.409 kcal/mol of atoms; space group = P2_1, No. 4
1.0
4.298 -0.074 0.070
0.102 5.949 -0.021
0.430 0.015 8.102
As Cl Te
2 2 2
Direct
0.903 0.746 0.852
0.102 0.246 0.152
0.727 0.202 0.364
0.279 0.701 0.640
0.254 0.808 0.106
0.752 0.308 0.898

[3]
TlZn2Tc2, optimized geometry, DFT PBE; energy relative to the elements = 345 meV/atom; space group = P4/mbm, No. 127
1.0
7.072 0.000 0.000
0.000 7.072 0.000
0.000 0.000 3.426
Tl Tc Zn
2 4 4
Direct
0.500 0.500 0.000
0.000 0.000 0.000
0.618 0.118 0.000
0.118 0.382 0.000
0.882 0.618 0.000
0.382 0.882 0.000
0.827 0.327 0.500
0.673 0.827 0.500
0.327 0.173 0.500
0.173 0.673 0.500

[4]
FeP2, optimized geometry, DFT PBE; energy relative to the elements = -198 meV/atom; space group = Fm-3m, No. 225
1.0
3.788 0.000 0.000
1.894 3.281 0.000
1.894 1.094 3.093
P Fe
2 1
Direct
0.750 0.750 0.750
0.250 0.250 0.250
0.000 0.000 0.000

[5]
CaTe2Cl, optimized geometry, DFT PBE; energy relative to the elements, uncorrected = -24.941 kcal/mol of atoms; polymorph energy (0 for the lowest one) = 0 meV/atom; space group = Cm, No. 8
1.0
-4.746 2.642 2.894
-2.700 1.089 5.422
2.527 5.731 1.473
Ca Cl Te
1 1 2
Direct
0.495 0.495 0.401
0.165 0.165 0.371
0.828 0.828 0.762
0.012 0.012 0.966

[6]
NaGa6Ag2, optimized geometry, DFT PBE; energy relative to the elements = -14 meV/atom; space group = Immm, No. 71
1.0
-2.807 -1.271 2.941
5.341 -1.668 4.377
-1.399 7.126 -1.341
Ga Ag Na
6 2 1
Direct
0.307 0.112 0.614
0.693 0.888 0.386
0.500 0.818 0.000
0.693 0.498 0.386
0.307 0.502 0.614
0.500 0.182 0.000
0.117 0.117 0.234
0.883 0.883 0.766
0.000 0.500 0.000

[7]
InAgTeI2, optimized geometry, DFT PBE; energy relative to the elements, uncorrected = 5.661 kcal/mol of atoms; polymorph energy (0 for the lowest one) = 197 meV/atom; space group = P4/mmm, No. 123
1.0
-2.383 -2.751 -4.682
3.784 -4.508 0.723
-3.768 -2.609 3.451
In Te I Ag
1 1 2 1
Direct
0.000 0.000 0.000
0.000 0.000 0.500
0.500 0.000 0.000
0.000 0.500 0.000
0.500 0.500 0.500

[8]
LiZrPb2, optimized geometry, DFT PBE; energy relative to the elements = -153 meV/atom; space group = I-4m2, No. 119
1.0
-3.770 1.376 4.490
-4.989 -3.248 0.905
5.895 -0.876 -0.867
Pb Li Zr
2 1 1
Direct
0.000 0.000 0.000
0.250 0.750 0.500
0.750 0.250 0.500
0.500 0.500 0.000

[9]
LaPr, optimized geometry, DFT PBE; polymorph energy (0 for the lowest one) = 112 meV/atom; energy relative to the elements = 123 meV/atom; space group = Pm-3m, No. 221
1.0
-0.289 -1.817 -3.766
-3.477 -1.993 1.228
-2.323 3.209 -1.370
La Pr
1 1
Direct
0.000 0.000 0.000
0.500 0.500 0.500

[10]
Y3PaIn3Te8, optimized geometry, DFT PBE; energy relative to the elements, uncorrected = -21.773 kcal/mol of atoms; space group = R-3m, No. 166
1.0
8.760 0.000 0.001
-4.381 7.586 -0.030
0.000 -5.024 8.199
Te In Y Pa
8 3 3 1
Direct
0.740 0.480 0.719
0.741 0.980 0.719
0.761 0.522 0.281
0.259 0.020 0.281
0.761 0.020 0.281
0.239 0.478 0.719
0.260 0.520 0.281
0.239 0.980 0.719
0.000 0.500 0.000
0.000 0.000 0.000
0.500 0.500 0.000
0.500 0.000 0.500
0.000 0.500 0.500
0.500 0.500 0.500
0.000 0.000 0.500

[11]
Ag6ICl8, optimized geometry, DFT PBE; energy relative to the elements, uncorrected = -7.300 kcal/mol of atoms; space group = Pmn2_1, No. 31
1.0
7.393 0.000 0.000
0.000 7.936 0.000
0.000 0.000 14.814
Cl Ag I
16 12 2
Direct
0.961 0.206 0.892
0.367 0.000 0.500
0.955 0.754 0.145
0.498 0.500 0.517
0.499 0.704 0.233
0.961 0.794 0.892
0.045 0.746 0.645
0.039 0.294 0.392
0.501 0.204 0.733
0.955 0.246 0.145
0.633 0.500 0.000
0.501 0.796 0.733
0.045 0.254 0.645
0.502 0.000 0.017
0.499 0.296 0.233
0.039 0.706 0.392
0.272 0.808 0.088
0.059 0.000 0.409
0.941 0.500 0.909
0.448 0.500 0.724
0.728 0.692 0.588
0.272 0.192 0.088
0.919 0.000 0.027
0.753 0.500 0.188
0.081 0.500 0.527
0.247 0.000 0.688
0.728 0.308 0.588
0.552 0.000 0.224
0.305 0.500 0.955
0.695 0.000 0.455

[12]
MnAgSb2, optimized geometry, DFT PBE; energy relative to the elements, uncorrected = 6.534 kcal/mol of atoms; space group = P4/mmm, No. 123
1.0
-1.468 -2.766 0.449
1.842 -0.572 2.507
-5.322 3.592 4.729
Ag Mn Sb
1 1 2
Direct
0.500 0.500 0.250
0.500 0.500 0.750
0.000 0.000 0.950
0.000 0.000 0.550

[13]
Sm3ScTl2, optimized geometry, DFT PBE; polymorph energy (0 for the lowest one) = 0 meV/atom; energy relative to the elements = -248 meV/atom; space group = Immm, No. 71
1.0
-2.294 2.331 8.388
2.294 -2.331 8.388
2.294 2.331 -8.388
Sm Tl Sc
3 2 1
Direct
0.500 0.500 0.000
0.325 0.825 0.500
0.675 0.175 0.500
0.866 0.366 0.500
0.134 0.634 0.500
0.000 0.000 0.000

[14]
LaMg2W, optimized geometry, DFT PBE; polymorph energy (0 for the lowest one) = 69 meV/atom; energy relative to the elements = 459 meV/atom; space group = Immm, No. 71
1.0
6.357 0.004 0.002
3.547 5.275 -0.002
-4.413 -3.650 2.759
Mg La W
2 1 1
Direct
0.534 0.534 0.000
0.966 0.966 0.000
0.250 0.750 0.500
0.750 0.250 0.500

[15]
Na2Pm2Tl3, optimized geometry, DFT PBE; energy relative to the elements = -224 meV/atom; space group = Cmmm, No. 65
1.0
-1.239 3.353 0.477
-3.346 -1.248 0.081
0.485 -0.227 16.498
Tl Na Pm
3 2 2
Direct
0.863 0.000 0.274
0.000 0.000 0.000
0.137 0.000 0.726
0.299 0.500 0.403
0.701 0.500 0.597
0.433 0.500 0.134
0.567 0.500 0.866

[16]
Cs3PaI7, optimized geometry, DFT PBE; energy relative to the elements, uncorrected = -29.203 kcal/mol of atoms; space group = Cm, No. 8
1.0
-3.040 4.049 7.323
-4.213 -7.144 3.237
3.203 -3.494 8.652
Cs I Pa
3 7 1
Direct
0.513 0.513 0.901
0.223 0.775 0.491
0.775 0.223 0.491
0.642 0.129 0.203
0.806 0.806 0.893
0.980 0.304 0.739
0.139 0.139 0.134
0.304 0.980 0.739
0.129 0.642 0.203
0.662 0.662 0.413
0.953 0.953 0.043

[17]
RbBiPb2, optimized geometry, DFT PBE; energy relative to the elements = -39 meV/atom; space group = I-42d, No. 122
1.0
9.456 0.000 0.000
0.000 9.456 0.000
4.728 4.728 3.588
Rb Pb Bi
2 4 2
Direct
0.250 0.750 0.500
0.500 0.500 0.000
0.875 0.927 0.750
0.375 0.323 0.750
0.677 0.125 0.250
0.073 0.625 0.250
0.750 0.250 0.500
0.000 0.000 0.000

[18]
LiPaCd, optimized geometry, DFT PBE; energy relative to the elements = -4 meV/atom; space group = Cmcm, No. 63
1.0
-0.815 2.150 -2.112
-1.465 -3.671 -3.173
-7.286 -0.807 4.297
Pa Cd Li
2 2 2
Direct
0.236 0.750 0.471
0.764 0.250 0.529
0.908 0.750 0.817
0.092 0.250 0.183
0.555 0.750 0.111
0.445 0.250 0.889

[19]
Pm3Dy4Er4, optimized geometry, DFT PBE; polymorph energy (0 for the lowest one) = 0 meV/atom; energy relative to the elements = 56 meV/atom; space group = P-1, No. 2
1.0
-2.931 -1.845 0.380
1.822 -1.867 4.993
-8.303 12.101 10.723
Er Dy Pm
4 4 3
Direct
0.591 0.092 0.818
0.266 0.266 0.468
0.409 0.908 0.182
0.734 0.734 0.532
0.682 0.182 0.637
0.546 0.546 0.908
0.454 0.454 0.092
0.318 0.818 0.363
0.137 0.637 0.726
0.000 0.000 0.000
0.863 0.363 0.274

[20]
Pr8Os3SeCl4, optimized geometry, DFT PBE; energy relative to the elements, uncorrected = -22.523 kcal/mol of atoms; space group = R-3m, No. 166
1.0
8.430 0.000 0.000
0.000 8.912 0.331
-4.215 -4.211 5.962
Pr Se Cl Os
8 1 4 3
Direct
0.754 0.293 0.038
0.263 0.290 0.526
0.716 0.707 0.962
0.737 0.710 0.474
0.245 0.707 0.491
0.284 0.293 0.038
0.246 0.707 0.962
0.755 0.293 0.509
0.000 0.500 0.000
0.500 0.000 0.000
0.000 0.000 0.500
0.000 0.000 0.000
0.500 0.000 0.500
0.500 0.500 0.500
0.500 0.500 0.000
0.000 0.500 0.500

[21]
KSrAs2, optimized geometry, DFT PBE; polymorph energy (0 for the lowest one) = 442 meV/atom; energy relative to the elements = -263 meV/atom; space group = P4mm, No. 99
1.0
3.811 0.003 0.000
-0.003 3.811 0.000
0.000 0.000 9.339
K As Sr
1 2 1
Direct
0.000 0.000 0.421
0.000 0.000 0.075
0.500 0.500 0.160
0.500 0.500 0.844

[22]
Ni3Ir3Rh5, optimized geometry, DFT PBE; energy relative to the elements = 446 meV/atom; space group = P-62m, No. 189
1.0
-0.051 0.941 2.496
-8.305 0.412 -0.325
3.719 -6.940 2.693
Ir Ni Rh
3 3 5
Direct
0.000 0.594 0.000
0.000 0.000 0.594
0.000 0.406 0.406
0.500 0.840 0.000
0.500 0.160 0.160
0.500 0.000 0.840
0.500 0.668 0.668
0.500 0.333 0.667
0.500 0.667 0.333
0.500 0.332 0.000
0.500 0.000 0.332

[23]
TcNiAs6, optimized geometry, DFT PBE; energy relative to the elements = -142 meV/atom; space group = C2/m, No. 12
1.0
-6.318 -1.937 3.395
4.554 -5.857 -0.381
3.276 5.391 3.758
Tc As Ni
2 12 2
Direct
0.000 0.000 0.500
0.500 0.500 0.500
0.343 0.494 0.145
0.657 0.506 0.855
0.146 0.348 0.494
0.854 0.652 0.506
0.847 0.344 0.192
0.153 0.656 0.808
0.802 0.152 0.656
0.198 0.848 0.344
0.651 0.802 0.145
0.349 0.198 0.855
0.496 0.146 0.344
0.504 0.854 0.656
0.000 0.500 0.000
0.500 0.000 0.000

[24]
KFeCu2Tc, optimized geometry, DFT PBE; energy relative to the elements = 2382 meV/atom; space group = P4/mmm, No. 123
1.0
-3.166 1.822 2.800
0.093 -3.798 2.577
3.339 1.834 2.583
K Fe Cu Tc
1 1 2 1
Direct
0.000 0.000 0.000
0.000 0.500 0.000
0.500 0.000 0.000
0.000 0.000 0.500
0.500 0.500 0.500